(a)
PmPrDy2 | the Alexandria database | PBE | relaxed; density = 7.6 Mg/m³; N(E_F) = 17.302 states/eV/cell; spin magnetization = 0.000 μB per atom; crystal system = trigonal
1.0
3.631 0.000 0.000
-1.816 3.145 0.000
0.000 0.000 35.086
Pm Pr Dy
3 3 6
Cartesian
0.000 0.000 0.000
0.000 2.096 23.391
1.816 1.048 11.695
0.000 0.000 5.831
0.000 2.096 29.221
1.816 1.048 17.526
0.000 0.000 20.457
0.000 0.000 26.285
0.000 2.096 8.762
0.000 2.096 14.590
1.816 1.048 2.894
1.816 1.048 32.153



(b)
PmPrDy2 | the Alexandria database | PBE | relaxed; density = 7.6 Mg/m³; N(E_F) = 31.915 states/eV/cell; spin magnetization = 0.000 μB per atom; crystal system = cubic
1.0
8.125 0.000 0.000
0.000 8.125 0.000
0.000 0.000 8.125
Pm Pr Dy
4 4 8
Cartesian
0.000 0.000 0.000
0.000 4.062 4.062
4.062 0.000 4.062
4.062 4.062 0.000
0.000 0.000 4.062
0.000 4.062 0.000
4.062 0.000 0.000
4.062 4.062 4.062
2.031 2.031 2.031
2.031 2.031 6.094
2.031 6.094 2.031
2.031 6.094 6.094
6.094 2.031 2.031
6.094 2.031 6.094
6.094 6.094 2.031
6.094 6.094 6.094



Which structure is the most stable? The one labeled (a).



(a)
PmPrDy2 | the Alexandria database | PBE | relaxed; density = 7.6 Mg/m³; N(E_F) = 13.571 states/eV/cell; spin magnetization = 0.000 μB per atom; crystal system = trigonal
1.0
3.617 0.000 0.000
-1.808 3.132 0.000
0.000 0.000 35.150
Pm Pr Dy
3 3 6
Cartesian
0.000 0.000 0.000
0.000 2.088 23.434
1.808 1.044 11.717
0.000 0.000 17.575
0.000 2.088 5.858
1.808 1.044 29.292
0.000 0.000 8.807
0.000 0.000 26.344
0.000 2.088 14.627
0.000 2.088 32.240
1.808 1.044 2.910
1.808 1.044 20.523



(b)
PmPrDy2 | the Alexandria database | PBE | relaxed; density = 7.6 Mg/m³; N(E_F) = 6.298 states/eV/cell; spin magnetization = 0.000 μB per atom; crystal system = tetragonal
1.0
5.124 0.000 0.000
0.000 5.124 0.000
0.000 0.000 5.070
Pm Pr Dy
1 1 2
Cartesian
0.000 0.000 0.000
2.562 2.562 0.000
0.000 2.562 2.535
2.562 0.000 2.535



Which structure is the most stable? The one labeled (a).



(a)
Pm2PrDy | the Alexandria database | PBE | relaxed; density = 7.2 Mg/m³; N(E_F) = 9.031 states/eV/cell; spin magnetization = 0.000 μB per atom; crystal system = tetragonal
1.0
4.291 0.000 0.000
0.000 4.291 0.000
0.000 0.000 7.419
Pm Pr Dy
2 1 1
Cartesian
0.000 0.000 1.808
0.000 0.000 5.611
2.145 2.145 3.710
2.145 2.145 0.000



(b)
Pm2PrDy | the Alexandria database | PBE | relaxed; density = 7.2 Mg/m³; N(E_F) = 16.257 states/eV/cell; spin magnetization = 0.000 μB per atom; crystal system = trigonal
1.0
3.639 0.000 0.000
-1.819 3.151 0.000
0.000 0.000 35.662
Pm Pr Dy
6 3 3
Cartesian
0.000 0.000 8.854
0.000 0.000 26.808
0.000 2.101 14.920
0.000 2.101 32.629
1.819 1.050 3.033
1.819 1.050 20.742
0.000 0.000 0.000
0.000 2.101 23.775
1.819 1.050 11.887
0.000 0.000 17.831
0.000 2.101 5.944
1.819 1.050 29.718



Which structure is the most stable? The one labeled (b).



(a)
Pm3PrDy6 | the Alexandria database | PBE | relaxed; density = 7.7 Mg/m³; N(E_F) = 21.270 states/eV/cell; spin magnetization = 0.000 μB per atom; crystal system = trigonal
1.0
4.971 2.870 3.893
-4.971 2.870 3.893
0.000 -5.740 3.893
Pm Pr Dy
3 1 6
Cartesian
0.000 0.000 0.000
0.000 0.000 2.900
0.000 0.000 5.795
0.000 0.000 8.740
-1.716 -2.871 4.852
-3.349 0.063 6.798
-1.628 2.922 4.852
1.619 -2.932 6.798
3.345 -0.051 4.852
1.729 2.868 6.798



(b)
Pm3PrDy6 | the Alexandria database | PBE | relaxed; density = 7.7 Mg/m³; N(E_F) = 29.268 states/eV/cell; spin magnetization = 0.000 μB per atom; crystal system = orthorhombic
1.0
5.532 -9.508 0.000
5.532 9.508 0.000
0.000 0.000 6.320
Pm Pr Dy
6 2 12
Cartesian
5.532 7.399 3.160
3.588 2.133 5.638
3.588 -2.133 2.478
7.476 2.133 5.638
7.476 -2.133 2.478
5.532 -7.399 0.000
5.532 3.768 3.553
5.532 -3.768 0.393
2.686 3.995 1.903
1.836 0.872 2.978
1.836 -0.872 6.138
5.532 5.256 0.473
2.686 -3.995 5.063
5.532 0.777 1.977
5.532 -0.777 5.137
8.378 3.995 1.903
5.532 -5.256 3.633
9.227 0.872 2.978
9.227 -0.872 6.138
8.378 -3.995 5.063



Which structure is the most stable? The one labeled (b).